# NaSn2Br5, relaxed, DFT PBE
# Calculated total energy (eV/atom): -3.1641
# Fermi-level density of states (states/eV per atom): 0.00
# M_tot (Bohr magnetons per cell): 0.00
# Volume (Å³/atom): 36.0
# E_form (uncorrected) (eV/atom): -0.95
data_NaSn2Br5
_symmetry_space_group_name_H-M 'P 1 21/c 1'
_symmetry_Int_Tables_number 14
_cell_length_a 11.018
_cell_length_b 7.628
_cell_length_c 14.431
_cell_angle_alpha 90.00
_cell_angle_beta 108.09
_cell_angle_gamma 90.00
loop_
_symmetry_equiv_pos_as_xyz
'x,y,z'
'-x,-y,-z'
'-x,y+1/2,-z+1/2'
'x,-y+1/2,z+1/2'
loop_
_atom_site_label
_atom_site_type_symbol
_atom_site_fract_x
_atom_site_fract_y
_atom_site_fract_z
Na1 Na 0.000 0.000 0.000
Na2 Na 0.500 0.000 0.000
Sn1 Sn 0.093 0.018 0.379
Sn2 Sn 0.407 0.019 0.621
Br1 Br 0.043 0.182 0.195
Br2 Br 0.126 0.669 0.090
Br3 Br 0.250 0.187 0.000
Br4 Br 0.374 0.669 0.910
Br5 Br 0.456 0.183 0.805

=====

# Ac3ThTl4, relaxed, DFT PBE
# Calculated total energy (eV/atom): -3.9160
# Formation energy (eV/atom): -0.26
# Fermi-level density of states (states/eV per atom): 1.05
# M_tot (Bohr magnetons per cell): 0.00
# Volume (Å³/atom): 33.7
data_Ac3ThTl4
_symmetry_space_group_name_H-M 'P 4/m m m'
_symmetry_Int_Tables_number 123
_symmetry_space_group_name_Hall '-P 4 2'
_cell_length_a 4.068
_cell_length_b 4.068
_cell_length_c 16.311
_cell_angle_alpha 90.00
_cell_angle_beta 90.00
_cell_angle_gamma 90.00
loop_
_atom_site_label
_atom_site_type_symbol
_atom_site_fract_x
_atom_site_fract_y
_atom_site_fract_z
Ac1 Ac 0.000 0.000 0.000
Ac2 Ac 0.000 0.000 0.257
Th1 Th 0.000 0.000 0.500
Tl1 Tl 0.500 0.500 0.129
Tl2 Tl 0.500 0.500 0.386

=====

# Rb3Tb3GeSe8, relaxed, DFT PBE
# Calculated total energy (eV/atom): -4.6532
# Fermi-level density of states (states/eV per atom): 0.15
# M_tot (Bohr magnetons per cell): 0.00
# Volume (Å³/atom): 32.5
# E_form (uncorrected) (eV/atom): -1.37
data_Rb3Tb3GeSe8
_symmetry_space_group_name_H-M 'R -3 m'
_symmetry_Int_Tables_number 166
_symmetry_space_group_name_Hall '-R 3 2"'
_cell_length_a 8.2799
_cell_length_b 8.2799
_cell_length_c 24.6379
_cell_angle_alpha 90.00
_cell_angle_beta 90.00
_cell_angle_gamma 120.00
loop_
_atom_site_label
_atom_site_type_symbol
_atom_site_fract_x
_atom_site_fract_y
_atom_site_fract_z
Rb1 Rb 0.0000 0.5000 0.0000
Tb1 Tb 0.0000 0.5000 0.5000
Ge1 Ge 0.0000 0.0000 0.5000
Se1 Se 0.0000 0.0000 0.2320
Se2 Se 0.0242 0.5121 0.2281

=====

# CoB3Pd, relaxed, DFT PBE
# Relative energy among the computed polymorphs (eV per atom): 0.9311
# Calculated total energy (eV/atom): -4.7734
# Formation energy (eV/atom): 1.69
# Fermi-level density of states (states/eV per atom): 1.10
# M_tot (Bohr magnetons per cell): 1.50
# Volume (Å³/atom): 12.9
data_CoB3Pd
_symmetry_space_group_name_H-M 'P m -3 m'
_symmetry_Int_Tables_number 221
_symmetry_space_group_name_Hall '-P 4 2 3'
_cell_length_a 4.015
_cell_length_b 4.015
_cell_length_c 4.015
_cell_angle_alpha 90.00
_cell_angle_beta 90.00
_cell_angle_gamma 90.00
loop_
_atom_site_label
_atom_site_type_symbol
_atom_site_fract_x
_atom_site_fract_y
_atom_site_fract_z
Co1 Co 0.000 0.000 0.000
B1 B 0.000 0.500 0.500
Pd1 Pd 0.500 0.500 0.500

=====

# KGeB2Cl8, relaxed, DFT PBE
# Calculated total energy (eV/atom): -3.6996
# Fermi-level density of states (states/eV per atom): 0.54
# M_tot (Bohr magnetons per cell): 3.00
# Volume (Å³/atom): 26.7
# E_form (uncorrected) (eV/atom): -0.88
data_KGeB2Cl8
_symmetry_space_group_name_H-M 'R -3'
_symmetry_Int_Tables_number 148
_symmetry_space_group_name_Hall '-R 3'
_cell_length_a 6.1697
_cell_length_b 6.1697
_cell_length_c 29.1549
_cell_angle_alpha 90.00
_cell_angle_beta 90.00
_cell_angle_gamma 120.00
loop_
_atom_site_label
_atom_site_type_symbol
_atom_site_fract_x
_atom_site_fract_y
_atom_site_fract_z
K1 K 0.0000 0.0000 0.0000
Ge1 Ge 0.0000 0.0000 0.5000
B1 B 0.0000 0.0000 0.2554
Cl1 Cl 0.0000 0.0000 0.3191
Cl2 Cl 0.0259 0.2983 0.7656

=====

# Sc2BeSiNi6, relaxed, DFT PBE
# Calculated total energy (eV/atom): -5.9691
# Fermi-level density of states (states/eV per atom): 0.40
# M_tot (Bohr magnetons per cell): 0.00
# Volume (Å³/atom): 13.6
# E_form (uncorrected) (eV/atom): -0.32
data_Sc2BeSiNi6
_symmetry_space_group_name_H-M 'C 1 2/m 1'
_symmetry_Int_Tables_number 12
_cell_length_a 9.035
_cell_length_b 5.292
_cell_length_c 6.375
_cell_angle_alpha 90.00
_cell_angle_beta 117.08
_cell_angle_gamma 90.00
loop_
_symmetry_equiv_pos_as_xyz
'x,y,z'
'-x,-y,-z'
'-x,y,-z'
'x,-y,z'
'x+1/2,y+1/2,z'
'-x+1/2,-y+1/2,-z'
'-x+1/2,y+1/2,-z'
'x+1/2,-y+1/2,z'
loop_
_atom_site_label
_atom_site_type_symbol
_atom_site_fract_x
_atom_site_fract_y
_atom_site_fract_z
Sc1 Sc 0.225 0.000 0.157
Be1 Be 0.000 0.000 0.500
Si1 Si 0.000 0.500 0.000
Ni1 Ni 0.038 0.271 0.319
Ni2 Ni 0.238 0.000 0.709